First-principles (PBE) data for a relaxed structure of BeZnRu2, as listed in Alexandria.

Values from the calculation:
E_tot   -5.945 eV per atom

a b c (Å): 2.8405 2.8405 6.1447
angles (deg): 90.00 90.00 90.00
With the nearest neighbours (Å) after each atom.
Sites, in units of the cell vectors:
Ru1 0.0000 0.0000 0.9627  4 Be 2.40, 1 Ru 2.61, 4 Zn 2.67
Ru2 0.0000 0.0000 0.5373  4 Be 2.40, 1 Ru 2.61, 4 Zn 2.67
Zn1 0.5000 0.5000 0.2500  8 Ru 2.67, 4 Zn 2.84
Be1 0.5000 0.5000 0.7500  8 Ru 2.40

First-principles (PBE) data for a relaxed structure of Ac3Zn2, as listed in Alexandria.

Values from the calculation:
E_tot   -3.061 eV per atom
Excess energy over the best structure of this formula in the dataset   0.1089 eV per atom

a b c (Å): 7.5152 7.5152 8.4130
angles (deg): 63.47 63.47 60.00
With the nearest neighbours (Å) after each atom.
Sites, in units of the cell vectors:
Ac1 0.1602 0.7500 0.7500  4 Zn 3.27-3.33
Ac2 0.7500 0.3398 0.7500  4 Zn 3.27-3.33
Ac3 0.3398 0.1602 0.7500  4 Zn 3.27-3.33
Ac4 0.2500 0.6602 0.2500  4 Zn 3.27-3.33
Ac5 0.6602 0.8398 0.2500  4 Zn 3.27-3.33
Ac6 0.8398 0.2500 0.2500  4 Zn 3.27-3.33
Zn1 0.8077 0.8077 0.5769  1 Zn 2.50
Zn2 0.3077 0.3077 0.0769  1 Zn 2.50
Zn3 0.1923 0.1923 0.4231  1 Zn 2.50
Zn4 0.6923 0.6923 0.9231  1 Zn 2.50

First-principles (PBE) data for a relaxed structure of La12Ni6Sb, as listed in Alexandria.

Values from the calculation:
E_tot   -5.508 eV per atom
Uncorrected formation energy   -0.35 eV per atom

a b c (Å): 8.8736 8.8736 8.8736
angles (deg): 109.47 109.47 109.47
With the nearest neighbours (Å) after each atom.
Sites, in units of the cell vectors:
La1 0.3111 0.1295 0.8184  3 Ni 2.77-2.97
La2 0.3111 0.4927 0.1816  3 Ni 2.77-2.97
La3 0.6889 0.5073 0.8184  3 Ni 2.77-2.97
La4 0.6889 0.8705 0.1816  3 Ni 2.77-2.97
La5 0.1295 0.8184 0.3111  3 Ni 2.77-2.97
La6 0.4927 0.1816 0.3111  3 Ni 2.77-2.97
La7 0.5073 0.8184 0.6889  3 Ni 2.77-2.97
La8 0.8705 0.1816 0.6889  3 Ni 2.77-2.97
La9 0.8184 0.3111 0.1295  3 Ni 2.77-2.97
La10 0.1816 0.3111 0.4927  3 Ni 2.77-2.97
La11 0.8184 0.6889 0.5073  3 Ni 2.77-2.97
La12 0.1816 0.6889 0.8705  3 Ni 2.77-2.97
Ni1 0.3753 0.5000 0.8753  1 Ni 2.56, 2 La 2.77
Ni2 0.6247 0.5000 0.1247  1 Ni 2.56, 2 La 2.77
Ni3 0.5000 0.8753 0.3753  1 Ni 2.56, 2 La 2.77
Ni4 0.5000 0.1247 0.6247  1 Ni 2.56, 2 La 2.77
Ni5 0.8753 0.3753 0.5000  1 Ni 2.56, 2 La 2.77
Ni6 0.1247 0.6247 0.5000  1 Ni 2.56, 2 La 2.77
Sb1 0.0000 0.0000 0.0000  12 La 3.69